No. 1
Here is a geometry-optimized Na4U3Te8Pb structure from the Alexandria database. Energies are from GGA-PBE.

Output
DFT total energy, eV/atom: -5.004
Formation energy from raw total energies, eV per formula unit: -12.08
Theoretical density, g/cm3: 6.3
Total moment, μB/atom: 0.50

```
Na4U3Te8Pb
1.0
4.529 2.615 7.491
-4.529 2.615 7.491
0.000 -5.230 7.491
Na U Te Pb
4 3 8 1
direct
0.000 0.000 0.000
0.000 0.500 0.500
0.500 0.000 0.500
0.500 0.500 0.000
0.000 0.000 0.500
0.000 0.500 0.000
0.500 0.000 0.000
0.234 0.751 0.751
0.245 0.245 0.245
0.249 0.249 0.766
0.249 0.766 0.249
0.751 0.234 0.751
0.751 0.751 0.234
0.755 0.755 0.755
0.766 0.249 0.249
0.500 0.500 0.500
```

***

No. 2
Here is a geometry-optimized Na3U3Te8Pb structure from the Alexandria database. Energies are from GGA-PBE.

Output
DFT total energy, eV/atom: -5.161
Formation energy from raw total energies, eV per formula unit: -10.75
Theoretical density, g/cm3: 6.4
Total moment, μB/atom: 0.47

```
Na3U3Te8Pb
1.0
4.486 2.590 7.441
-4.486 2.590 7.441
0.000 -5.180 7.441
Na U Te Pb
3 3 8 1
direct
0.000 0.500 0.500
0.500 0.000 0.500
0.500 0.500 0.000
0.000 0.000 0.500
0.000 0.500 0.000
0.500 0.000 0.000
0.227 0.755 0.755
0.245 0.245 0.245
0.245 0.245 0.773
0.245 0.773 0.245
0.755 0.227 0.755
0.755 0.755 0.227
0.755 0.755 0.755
0.773 0.245 0.245
0.500 0.500 0.500
```

***

No. 3
Here is a geometry-optimized NaYTe4Pb2 structure from the Alexandria database. Energies are from GGA-PBE.

Output
DFT total energy, eV/atom: -4.291
Formation energy from raw total energies, eV per formula unit: -6.56
Theoretical density, g/cm3: 6.4
Total moment, μB/atom: 0.00

```
NaYTe4Pb2
1.0
7.873 0.000 0.000
0.000 4.539 0.000
-2.530 0.000 7.486
Na Y Te Pb
1 1 4 2
direct
0.000 0.000 0.000
0.500 0.500 0.000
0.257 0.500 0.240
0.262 0.000 0.765
0.738 0.000 0.235
0.743 0.500 0.760
0.000 0.500 0.500
0.500 0.000 0.500
```

***

No. 4
Here is a geometry-optimized NaZn2TePb structure from the Alexandria database. Energies are from GGA-PBE.

Output
DFT total energy, eV/atom: -1.797
Formation energy from raw total energies, eV per formula unit: 1.73
Theoretical density, g/cm3: 5.3
Total moment, μB/atom: 0.00

```
NaZn2TePb
1.0
5.172 0.000 0.000
0.000 5.172 0.000
0.000 0.000 5.733
Na Zn Te Pb
1 2 1 1
direct
0.000 0.000 0.000
0.000 0.500 0.000
0.500 0.000 0.000
0.000 0.000 0.500
0.500 0.500 0.500
```

***

Repeat the third record exactly.
Here is a geometry-optimized NaYTe4Pb2 structure from the Alexandria database. Energies are from GGA-PBE.

Output
DFT total energy, eV/atom: -4.291
Formation energy from raw total energies, eV per formula unit: -6.56
Theoretical density, g/cm3: 6.4
Total moment, μB/atom: 0.00

```
NaYTe4Pb2
1.0
7.873 0.000 0.000
0.000 4.539 0.000
-2.530 0.000 7.486
Na Y Te Pb
1 1 4 2
direct
0.000 0.000 0.000
0.500 0.500 0.000
0.257 0.500 0.240
0.262 0.000 0.765
0.738 0.000 0.235
0.743 0.500 0.760
0.000 0.500 0.500
0.500 0.000 0.500
```

***

Q: What is the total moment in the first record?
A: 0.50 μB/atom

***

Q: What is the formation energy from raw total energies in the first record?
A: -12.08 eV per formula unit

***

Q: Which value of theoretical density does entry 1 give?
A: 6.3 g/cm3